[1]
## La2ErH (PBE-GGA)

Data for a geometry-optimized La2ErH structure.

Summary:
The calculation puts the density at 7.0 g cm⁻³. The volume comes out at 26.36 Å³/atom. The value obtained for the energy relative to the lowest polymorph listed for this composition is 0.0 kJ/mol of atoms. The value obtained for the magnetization is 0.19 μB per cell. The calculation puts the total energy at -18.37 eV/cell. For the density of states at the Fermi level, the calculation gives 5.36 states/eV per cell.

Cell lengths 3.6954, 3.6954, 9.1688 Å; angles 78.37, 78.37, 60.00 degrees
Site moments in Bohr magnetons follow the coordinates.
Atoms (fractional coordinates):
La 0.2757 0.2757 0.1729  0.01
La 0.0564 0.0564 0.8308  0.05
Er 0.5006 0.5006 0.4982  0.05
H 0.6673 0.6673 0.9981  0.00

***

[2]
## La5Er3H12 (PBE-GGA)

Data for a geometry-optimized La5Er3H12 structure.

Summary:
The calculation puts the density at 6.5 g cm⁻³. The volume comes out at 15.53 Å³/atom. The value obtained for the magnetization is 0.13 μB per cell. The calculation puts the total energy at -347.22 eV/cell. For the density of states at the Fermi level, the calculation gives 46.95 states/eV per cell.

Cell lengths 11.7295, 11.7295, 11.7295 Å; angles 109.47, 109.47, 109.47 degrees
Atoms (fractional coordinates):
H 0.4323 0.1639 0.5869
H 0.6546 0.2316 0.5677
H 0.1546 0.0869 0.9230
H 0.8361 0.2684 0.4230
H 0.5770 0.3454 0.9131
H 0.3454 0.5770 0.4131
H 0.0869 0.1546 0.4230
H 0.5869 0.6639 0.4323
H 0.2316 0.6546 0.0677
H 0.9230 0.3361 0.2684
H 0.5677 0.7316 0.6546
H 0.9323 0.0869 0.6639
H 0.9230 0.5869 0.1546
H 0.1639 0.7316 0.5770
H 0.7316 0.5677 0.1546
H 0.1546 0.0677 0.7316
H 0.6546 0.4230 0.5869
H 0.7684 0.4230 0.3361
H 0.3361 0.9230 0.7684
H 0.1639 0.4323 0.0869
H 0.8454 0.9131 0.0770
H 0.0677 0.9131 0.3361
H 0.0677 0.1546 0.2316
H 0.4131 0.3361 0.5677
H 0.8361 0.5677 0.9131
H 0.5770 0.2316 0.1639
H 0.7316 0.1639 0.0770
H 0.6639 0.5869 0.9323
H 0.9323 0.8454 0.7684
H 0.3361 0.4131 0.0677
H 0.0869 0.9323 0.1639
H 0.5677 0.8361 0.4131
H 0.0770 0.6639 0.7316
H 0.2684 0.4323 0.8454
H 0.4230 0.6546 0.0869
H 0.9131 0.0677 0.8361
H 0.3454 0.7684 0.4323
H 0.0770 0.4131 0.8454
H 0.7684 0.3454 0.9323
H 0.4323 0.2684 0.3454
H 0.6639 0.0770 0.2316
H 0.5869 0.9230 0.6546
H 0.8454 0.9323 0.2684
H 0.2684 0.8361 0.9230
H 0.2316 0.5770 0.6639
H 0.4131 0.0770 0.3454
H 0.9131 0.8454 0.5770
H 0.4230 0.7684 0.8361
La 0.7500 0.1250 0.8750
La 0.2500 0.8750 0.1250
La 0.1250 0.3750 0.2500
La 0.5000 0.0000 0.0000
La 0.6250 0.8750 0.2500
La 0.8750 0.2500 0.6250
La 0.5000 0.0000 0.5000
La 0.5000 0.5000 0.0000
La 0.2500 0.3750 0.6250
La 0.6250 0.7500 0.8750
La 0.0000 0.0000 0.0000
La 0.3750 0.1250 0.7500
La 0.7500 0.6250 0.3750
La 0.8750 0.6250 0.7500
La 0.5000 0.5000 0.5000
La 0.0000 0.0000 0.5000
La 0.3750 0.2500 0.1250
La 0.1250 0.7500 0.3750
La 0.0000 0.5000 0.5000
La 0.0000 0.5000 0.0000
Er 0.7500 0.3750 0.1250
Er 0.2500 0.6250 0.8750
Er 0.7500 0.8750 0.6250
Er 0.8750 0.1250 0.2500
Er 0.3750 0.7500 0.6250
Er 0.6250 0.3750 0.7500
Er 0.6250 0.2500 0.3750
Er 0.8750 0.7500 0.1250
Er 0.3750 0.6250 0.2500
Er 0.1250 0.8750 0.7500
Er 0.2500 0.1250 0.3750
Er 0.1250 0.2500 0.8750

***

[3]
## LaEr2H8 (PBE-GGA)

Data for a geometry-optimized LaEr2H8 structure.

Summary:
The calculation puts the density at 7.4 g cm⁻³. The volume comes out at 9.82 Å³/atom. The value obtained for the magnetization is 0.00 μB per cell. The calculation puts the total energy at -47.62 eV/cell. For the density of states at the Fermi level, the calculation gives 1.41 states/eV per cell.

Cell lengths 3.6732, 5.3181, 6.4031 Å; angles 114.54, 106.67, 90.00 degrees
Atoms (fractional coordinates):
H 0.6684 0.8977 0.3369
H 0.3316 0.5608 0.6631
H 0.0000 0.7059 0.0000
H 0.3316 0.1023 0.6631
H 0.8429 0.8429 0.6858
H 0.6684 0.4392 0.3369
H 0.0000 0.2941 0.0000
H 0.1571 0.1571 0.3142
La 0.5000 0.0000 0.0000
Er 0.8288 0.3288 0.6576
Er 0.1712 0.6712 0.3424